No. 1
DFT (PBE) results for a relaxed NaPmGa4 crystal.

abc: 4.4730 5.7735 5.7734
angles: 76.28 67.21 67.21
Fractional positions:
Ga  0.6669  0.1244  0.0419
Ga  0.3331  0.8756  0.9581
Ga  0.6669  0.5418  0.6245
Ga  0.3331  0.4582  0.3755
Na  0.0000  0.5000  0.0000
Pm  0.0000  0.0000  0.5000

E_form	-8.8	kcal/mol of atoms
polymorph energy (0 for the lowest one)	0	meV per atom

***

No. 2
DFT (PBE) results for a relaxed FeCu2Ir crystal.

abc: 2.5807 2.5807 8.7229
angles: 90.00 90.00 116.02
Site moments in Bohr magnetons follow the coordinates.
Fractional positions:
Cu  0.0000  0.0000  0.4912  0.06
Cu  0.0000  0.0000  0.0088  0.06
Fe  0.5000  0.5000  0.2500  2.70
Ir  0.5000  0.5000  0.7500  0.00

E_form	4.8	kcal/mol of atoms
polymorph energy (0 for the lowest one)	139	meV per atom

***

No. 3
DFT (PBE) results for a relaxed Hf4Ru crystal.

abc: 4.9390 4.9390 4.9390
angles: 90.00 90.00 90.00
Fractional positions:
Hf  0.5000  0.0000  0.5000
Hf  0.0000  0.0000  0.0000
Hf  0.5000  0.5000  0.0000
Hf  0.0000  0.5000  0.5000
Ru  0.5000  0.5000  0.5000

E_form	8.8	kcal/mol of atoms
polymorph energy (0 for the lowest one)	435	meV per atom